(1)
Computed, not measured: Mn2RuPt after structural relaxation at the PBE-GGA level of DFT.

a b c (Å): 2.726 3.774 5.380
angles (deg): 90.00 90.00 90.00
Element x y z (fractional)
Mn: 0.000 0.000 0.000
Mn: 0.500 0.500 0.254
Ru: 0.500 0.500 0.780
Pt: 0.000 0.000 0.503

Its density of states at the Fermi level is 1.1394 states/eV/atom. As for the energy relative to the elements: -33.6 kJ/mol of formula units.


(2)
Computed, not measured: MgCo3W after structural relaxation at the PBE-GGA level of DFT.

a b c (Å): 4.159 4.159 4.159
angles (deg): 90.00 90.00 90.00
Element x y z (fractional)
Mg: 0.000 0.000 0.000
Co: 0.000 0.000 0.500
Co: 0.000 0.500 0.000
Co: 0.500 0.000 0.000
W: 0.500 0.500 0.500

Its density of states at the Fermi level is 1.7725 states/eV/atom. As for the energy relative to the elements: 781.6 kJ/mol of formula units.


(3)
Computed, not measured: TeMo2Ru after structural relaxation at the PBE-GGA level of DFT.

a b c (Å): 5.186 8.561 3.016
angles (deg): 90.00 90.00 90.00
Element x y z (fractional)
Te: 0.000 0.000 0.000
Te: 0.500 0.500 0.000
Mo: 0.250 0.250 0.500
Mo: 0.250 0.750 0.500
Mo: 0.750 0.250 0.500
Mo: 0.750 0.750 0.500
Ru: 0.000 0.500 0.000
Ru: 0.500 0.000 0.000

Its density of states at the Fermi level is 1.0108 states/eV/atom. The energy relative to the elements, uncorrected comes out at 0.4389 eV/atom.


(4)
Computed, not measured: NaZnP2O after structural relaxation at the PBE-GGA level of DFT.

a b c (Å): 5.063 5.063 3.618
angles (deg): 90.00 90.00 90.00
Element x y z (fractional)
Na: 0.000 0.000 0.000
Zn: 0.500 0.500 0.500
P: 0.000 0.500 0.500
P: 0.500 0.000 0.500
O: 0.500 0.500 0.000

Its density of states at the Fermi level is 0.6714 states/eV/atom. The energy relative to the elements, uncorrected comes out at 0.3390 eV/atom.


(5)
Computed, not measured: In2SnBr2 after structural relaxation at the PBE-GGA level of DFT.

a b c (Å): 4.154 4.154 18.427
angles (deg): 90.00 90.00 90.00
Element x y z (fractional)
In: 0.000 0.500 0.250
In: 0.000 0.500 0.750
In: 0.500 0.000 0.250
In: 0.500 0.000 0.750
Sn: 0.000 0.000 0.000
Sn: 0.500 0.500 0.500
Br: 0.000 0.000 0.407
Br: 0.000 0.000 0.593
Br: 0.500 0.500 0.093
Br: 0.500 0.500 0.907

Its density of states at the Fermi level is 0.6274 states/eV/atom. The energy relative to the elements, uncorrected comes out at -0.1503 eV/atom.


(6)
Computed, not measured: TbDy2Ho2Tm2 after structural relaxation at the PBE-GGA level of DFT.

a b c (Å): 8.685 8.685 8.685
angles (deg): 37.61 37.61 37.61
Element x y z (fractional)
Tb: 0.000 0.000 0.000
Dy: 0.142 0.142 0.142
Dy: 0.858 0.858 0.858
Ho: 0.426 0.426 0.426
Ho: 0.574 0.574 0.574
Tm: 0.284 0.284 0.284
Tm: 0.716 0.716 0.716

Its density of states at the Fermi level is 2.4354 states/eV/atom. As for the energy relative to the elements: 95.4 kJ/mol of formula units.


(7)
Computed, not measured: Ti2InCo after structural relaxation at the PBE-GGA level of DFT.

a b c (Å): 3.509 3.509 20.551
angles (deg): 90.00 90.00 120.00
Element x y z (fractional)
Ti: 0.000 0.000 0.000
Ti: 0.000 0.000 0.214
Ti: 0.333 0.667 0.667
Ti: 0.333 0.667 0.880
Ti: 0.667 0.333 0.333
Ti: 0.667 0.333 0.547
In: 0.000 0.000 0.441
In: 0.333 0.667 0.107
In: 0.667 0.333 0.774
Co: 0.000 0.000 0.601
Co: 0.333 0.667 0.268
Co: 0.667 0.333 0.935

Its density of states at the Fermi level is 0.9076 states/eV/atom. As for the energy relative to the elements: 1.9 kJ/mol of formula units.


(8)
Computed, not measured: NaHfMg2In after structural relaxation at the PBE-GGA level of DFT.

a b c (Å): 5.240 5.240 5.280
angles (deg): 90.00 90.00 90.00
Element x y z (fractional)
Na: 0.000 0.000 0.000
Hf: 0.500 0.500 0.000
Mg: 0.000 0.500 0.500
Mg: 0.500 0.000 0.500
In: 0.000 0.000 0.500

Its density of states at the Fermi level is 1.1194 states/eV/atom. As for the energy relative to the elements: 436.4 kJ/mol of formula units.


(9)
Computed, not measured: Cr13W3 after structural relaxation at the PBE-GGA level of DFT.

a b c (Å): 5.885 5.877 5.877
angles (deg): 89.73 90.00 90.00
Element x y z (fractional)
Cr: 0.000 0.000 0.000
Cr: 0.000 0.001 0.488
Cr: 0.000 0.488 0.001
Cr: 0.000 0.488 0.488
Cr: 0.246 0.248 0.248
Cr: 0.247 0.246 0.741
Cr: 0.247 0.741 0.246
Cr: 0.500 0.001 0.491
Cr: 0.500 0.489 0.489
Cr: 0.500 0.491 0.001
Cr: 0.753 0.246 0.741
Cr: 0.753 0.741 0.246
Cr: 0.754 0.248 0.248
W: 0.247 0.740 0.740
W: 0.500 0.003 0.003
W: 0.753 0.740 0.740

Its density of states at the Fermi level is 0.5055 states/eV/atom. As for the energy relative to the elements: 81.7 kJ/mol of formula units.


(10)
Computed, not measured: Pu3HPt after structural relaxation at the PBE-GGA level of DFT.

a b c (Å): 4.642 4.642 4.642
angles (deg): 90.00 90.00 90.00
Element x y z (fractional)
Pu: 0.000 0.000 0.500
Pu: 0.000 0.500 0.000
Pu: 0.500 0.000 0.000
H: 0.000 0.000 0.000
Pt: 0.500 0.500 0.500

Its density of states at the Fermi level is 3.5169 states/eV/atom. As for the total energy: -10.7360 eV per atom.


(11)
Computed, not measured: CaTaMo2 after structural relaxation at the PBE-GGA level of DFT.

a b c (Å): 4.852 4.852 3.139
angles (deg): 90.00 90.00 90.00
Element x y z (fractional)
Ca: 0.000 0.000 0.000
Ta: 0.500 0.500 0.000
Mo: 0.000 0.500 0.500
Mo: 0.500 0.000 0.500

Its density of states at the Fermi level is 1.2515 states/eV/atom. As for the energy relative to the elements: 284.8 kJ/mol of formula units.


(12)
Computed, not measured: WBrCl2 after structural relaxation at the PBE-GGA level of DFT.

a b c (Å): 6.170 9.136 3.401
angles (deg): 90.00 121.65 90.00
Element x y z (fractional)
W: 0.000 0.000 0.000
W: 0.500 0.500 0.000
Br: 0.000 0.500 0.000
Br: 0.500 0.000 0.000
Cl: 0.250 0.250 0.500
Cl: 0.250 0.750 0.500
Cl: 0.750 0.250 0.500
Cl: 0.750 0.750 0.500

Its density of states at the Fermi level is 0.7165 states/eV/atom. The energy relative to the elements, uncorrected comes out at 0.9906 eV/atom.


Number 1: V 55.4 Å³/f.u.. Number 2: V 71.9 Å³/f.u.. Number 3: V 66.9 Å³/f.u.. Number 4: V 92.7 Å³/f.u.. Number 5: V 159.0 Å³/f.u.. Number 6: V 218.8 Å³/f.u.. Number 7: V 73.1 Å³/f.u.. Number 8: V 145.0 Å³/f.u.. Number 9: V 203.3 Å³/f.u.. Number 10: V 100.0 Å³/f.u.. Number 11: V 73.9 Å³/f.u.. Number 12: V 81.6 Å³/f.u..